1.
A plane-wave DFT calculation with GGA-PBE was carried out for crystalline LaSiP at its relaxed geometry.

As for the offset from the most stable computed form: 0.204 eV/atom. The density of states at the Fermi level comes out at 1.056 states/eV/f.u. The value obtained for the magnetic moment is 0.0 μB/f.u. The symmetry is P-6m2. The formation energy (no corrections) is -2.3 eV/f.u.

a = 4.185 Å, b = 4.185 Å, c = 4.216 Å
α = 90.00°, β = 90.00°, γ = 120.00°
Fractional positions:
La (0.000, 0.000, 0.000)
Si (0.333, 0.667, 0.500)
P (0.667, 0.333, 0.500)

2.
A plane-wave DFT calculation with GGA-PBE was carried out for crystalline LaSiP2 at its relaxed geometry.

The density of states at the Fermi level comes out at 2.051 states/eV/f.u. The value obtained for the magnetic moment is 0.0 μB/f.u. The symmetry is R-3m. The formation energy (no corrections) is -1.7 eV/f.u.

a = 7.036 Å, b = 7.036 Å, c = 7.036 Å
α = 30.78°, β = 30.78°, γ = 30.78°
Fractional positions:
La (0.000, 0.000, 0.000)
Si (0.500, 0.500, 0.500)
P (0.230, 0.230, 0.230)
P (0.770, 0.770, 0.770)

3.
A plane-wave DFT calculation with GGA-PBE was carried out for crystalline LaSiP at its relaxed geometry.

As for the offset from the most stable computed form: 0.456 eV/atom. The density of states at the Fermi level comes out at 2.703 states/eV/f.u. The value obtained for the magnetic moment is 0.0 μB/f.u. The symmetry is P2_13. The formation energy (no corrections) is -1.6 eV/f.u.

a = 6.406 Å, b = 6.406 Å, c = 6.406 Å
α = 90.00°, β = 90.00°, γ = 90.00°
Fractional positions:
La (0.153, 0.347, 0.653)
La (0.347, 0.653, 0.153)
La (0.653, 0.153, 0.347)
La (0.847, 0.847, 0.847)
Si (0.179, 0.179, 0.179)
Si (0.321, 0.821, 0.679)
Si (0.679, 0.321, 0.821)
Si (0.821, 0.679, 0.321)
P (0.078, 0.922, 0.422)
P (0.422, 0.078, 0.922)
P (0.578, 0.578, 0.578)
P (0.922, 0.422, 0.078)

4.
A plane-wave DFT calculation with GGA-PBE was carried out for crystalline LaSi2P3 at its relaxed geometry.

As for the offset from the most stable computed form: 0.143 eV/atom. The density of states at the Fermi level comes out at 3.331 states/eV/f.u. The value obtained for the magnetic moment is 0.0 μB/f.u. The symmetry is P6/mmm. The formation energy (no corrections) is -0.5 eV/f.u.

a = 6.233 Å, b = 6.233 Å, c = 3.278 Å
α = 90.00°, β = 90.00°, γ = 120.00°
Fractional positions:
La (0.000, 0.000, 0.000)
Si (0.333, 0.667, 0.000)
Si (0.667, 0.333, 0.000)
P (0.000, 0.500, 0.500)
P (0.500, 0.000, 0.500)
P (0.500, 0.500, 0.500)

5.
A plane-wave DFT calculation with GGA-PBE was carried out for crystalline LaSiP at its relaxed geometry.

As for the offset from the most stable computed form: 0.548 eV/atom. The density of states at the Fermi level comes out at 1.788 states/eV/f.u. The value obtained for the magnetic moment is 0.0 μB/f.u. The symmetry is P4/mmm. The formation energy (no corrections) is -1.3 eV/f.u.

a = 4.114 Å, b = 4.114 Å, c = 4.570 Å
α = 90.00°, β = 90.00°, γ = 90.00°
Fractional positions:
La (0.000, 0.000, 0.000)
Si (0.500, 0.500, 0.500)
P (0.500, 0.500, 0.000)

6.
A plane-wave DFT calculation with GGA-PBE was carried out for crystalline LaSiP2 at its relaxed geometry.

The density of states at the Fermi level comes out at 0.776 states/eV/f.u. The value obtained for the magnetic moment is 0.0 μB/f.u. The symmetry is Cm. The formation energy (no corrections) is -2.2 eV/f.u.

a = 5.105 Å, b = 5.105 Å, c = 4.957 Å
α = 108.29°, β = 108.29°, γ = 41.05°
Fractional positions:
La (0.000, 0.000, 0.000)
Si (0.219, 0.219, 0.631)
P (0.516, 0.516, 0.508)
P (0.790, 0.790, 0.386)

7.
A plane-wave DFT calculation with GGA-PBE was carried out for crystalline La5Si2P2 at its relaxed geometry.

The density of states at the Fermi level comes out at 9.678 states/eV/f.u. The value obtained for the magnetic moment is 0.0 μB/f.u. The symmetry is Cmce. The formation energy (no corrections) is -9.4 eV/f.u.

a = 8.544 Å, b = 8.544 Å, c = 8.041 Å
α = 90.00°, β = 90.00°, γ = 55.25°
Fractional positions:
La (0.000, 0.000, 0.000)
La (0.033, 0.681, 0.669)
La (0.181, 0.533, 0.169)
La (0.319, 0.967, 0.669)
La (0.467, 0.819, 0.169)
La (0.500, 0.500, 0.500)
La (0.533, 0.181, 0.831)
La (0.681, 0.033, 0.331)
La (0.819, 0.467, 0.831)
La (0.967, 0.319, 0.331)
Si (0.111, 0.889, 0.389)
Si (0.389, 0.611, 0.889)
Si (0.611, 0.389, 0.111)
Si (0.889, 0.111, 0.611)
P (0.199, 0.199, 0.000)
P (0.301, 0.301, 0.500)
P (0.699, 0.699, 0.500)
P (0.801, 0.801, 0.000)

8.
A plane-wave DFT calculation with GGA-PBE was carried out for crystalline LaSiP at its relaxed geometry.

As for the offset from the most stable computed form: 0.647 eV/atom. The density of states at the Fermi level comes out at 3.523 states/eV/f.u. The value obtained for the magnetic moment is 0.0 μB/f.u. The symmetry is P4/nmm. The formation energy (no corrections) is -1.0 eV/f.u.

a = 5.475 Å, b = 5.475 Å, c = 5.270 Å
α = 90.00°, β = 90.00°, γ = 90.00°
Fractional positions:
La (0.250, 0.750, 0.000)
La (0.750, 0.250, 0.000)
Si (0.250, 0.250, 0.317)
Si (0.750, 0.750, 0.683)
P (0.250, 0.250, 0.729)
P (0.750, 0.750, 0.271)

9.
A plane-wave DFT calculation with GGA-PBE was carried out for crystalline LaSiP2 at its relaxed geometry.

The density of states at the Fermi level comes out at 1.317 states/eV/f.u. The value obtained for the magnetic moment is 0.0 μB/f.u. The symmetry is I4/mmm. The formation energy (no corrections) is -1.0 eV/f.u.

a = 5.057 Å, b = 5.057 Å, c = 5.057 Å
α = 127.02°, β = 127.02°, γ = 78.22°
Fractional positions:
La (0.000, 0.000, 0.000)
Si (0.500, 0.500, 0.000)
P (0.250, 0.750, 0.500)
P (0.750, 0.250, 0.500)

10.
A plane-wave DFT calculation with GGA-PBE was carried out for crystalline LaSiP at its relaxed geometry.

As for the offset from the most stable computed form: 0.474 eV/atom. The density of states at the Fermi level comes out at 1.108 states/eV/f.u. The value obtained for the magnetic moment is 0.0 μB/f.u. The symmetry is Cmcm. The formation energy (no corrections) is -1.5 eV/f.u.

a = 4.478 Å, b = 4.478 Å, c = 7.517 Å
α = 90.00°, β = 90.00°, γ = 96.30°
Fractional positions:
La (0.163, 0.837, 0.750)
La (0.837, 0.163, 0.250)
Si (0.297, 0.703, 0.250)
Si (0.703, 0.297, 0.750)
P (0.500, 0.500, 0.000)
P (0.500, 0.500, 0.500)

11.
A plane-wave DFT calculation with GGA-PBE was carried out for crystalline LaSiP2 at its relaxed geometry.

The density of states at the Fermi level comes out at 2.929 states/eV/f.u. The value obtained for the magnetic moment is 0.0 μB/f.u. The symmetry is I-4m2. The formation energy (no corrections) is -1.2 eV/f.u.

a = 5.750 Å, b = 5.750 Å, c = 5.750 Å
α = 138.94°, β = 138.94°, γ = 59.46°
Fractional positions:
La (0.000, 0.000, 0.000)
Si (0.750, 0.250, 0.500)
P (0.250, 0.750, 0.500)
P (0.500, 0.500, 0.000)

12.
A plane-wave DFT calculation with GGA-PBE was carried out for crystalline LaSi4P at its relaxed geometry.

The density of states at the Fermi level comes out at 4.798 states/eV/f.u. The value obtained for the magnetic moment is 0.0 μB/f.u. The symmetry is F-43m. The formation energy (no corrections) is 0.0 eV/f.u.

a = 5.310 Å, b = 5.310 Å, c = 5.310 Å
α = 60.00°, β = 60.00°, γ = 60.00°
Fractional positions:
La (0.000, 0.000, 0.000)
Si (0.377, 0.377, 0.377)
Si (0.377, 0.377, 0.869)
Si (0.377, 0.869, 0.377)
Si (0.869, 0.377, 0.377)
P (0.750, 0.750, 0.750)

> What is the formation energy (no corrections) in the second record?

-1.7 eV/f.u.